Material: LiIrPt2
Method: DFT, GGA-PBE
State: relaxed

a b c (Å): 9.2076 9.2076 9.2076
angles (deg): 17.08 17.08 17.08
Positions (direct):
Li: 0.0000 0.0000 0.0000
Ir: 0.5000 0.5000 0.5000
Pt: 0.2523 0.2523 0.2523
Pt: 0.7477 0.7477 0.7477

Output
The calculation puts the electronic total energy at -5.91 eV/atom. For the formation energy, the calculation gives -199 meV per atom. Its space-group type is R-3m.

***

Material: LiIr2Pt
Method: DFT, GGA-PBE
State: relaxed

a b c (Å): 2.7220 2.7220 7.8164
angles (deg): 90.00 90.00 90.00
Positions (direct):
Li: 0.0000 0.0000 0.0000
Ir: 0.5000 0.5000 0.2499
Ir: 0.5000 0.5000 0.7501
Pt: 0.0000 0.0000 0.5000

Output
The calculation puts the electronic total energy at -6.32 eV/atom. For the formation energy, the calculation gives 97 meV per atom. Its space-group type is P4/mmm.

***

In meV per atom, the polymorph energy (0 for the lowest one) values for the records above are, in order, 171; 267.